A plane-wave DFT calculation with GGA-PBE was carried out for a geometry-optimized YZn2Re structure.

The value obtained for the volume is 69.7 Å³/cell. As for the density of states at the Fermi level: 0.66 states/eV/atom. The space-group type is I4/mmm, No. 139. The value obtained for the energy relative to the elements is 0.071 eV/atom. As for the final energy: -5.294 eV/atom. As for the distance to the lowest polymorph of the same formula: 0 meV/atom.

```
YZn2Re
1.0
-2.269 -0.601 4.362
-4.761 -0.921 -1.007
4.098 -2.144 -1.772
Re Y Zn
1 1 2
direct
0.250 0.750 0.500
0.750 0.250 0.500
0.000 0.000 0.000
0.500 0.500 0.000
```